1.
This record from Alexandria via LeMat-Bulk describes a relaxed structure of Nb12VW6. The functional is PBE-GGA.

The formation energy comes out at 15 kJ per mole of atoms. The value obtained for the magnetic moment is 0.00 μB per formula unit. As for the uncorrected energy: -10.770 eV per atom.

The space group is R-3 (No. 148, hexagonal axes) and the conventional cell measures 9.7866, 9.7866 and 12.4368 Å, with angles of 90.00, 90.00 and 120.00 degrees. The distinct sites, in fractional coordinates, are Nb at (0.0514, 0.1856, 0.3063), Nb at (0.0647, 0.8325, 0.9171), V at (0.0000, 0.0000, 0.5000) and W at (0.0398, 0.4484, 0.2061).

---

2.
This record from Alexandria via LeMat-Bulk describes a relaxed structure of Nb3V2W3. The functional is PBE-GGA.

The formation energy comes out at -2 kJ per mole of atoms. The value obtained for the magnetic moment is 0.00 μB per formula unit. As for the uncorrected energy: -10.936 eV per atom.

The space group is Immm (No. 71) and the conventional cell measures 3.209, 4.574 and 17.749 Å, with angles of 90.00, 90.00 and 90.00 degrees. The distinct sites, in fractional coordinates, are Nb at (0.000, 0.000, 0.000), Nb at (0.000, 0.500, 0.129), V at (0.000, 0.000, 0.247), W at (0.000, 0.000, 0.500) and W at (0.000, 0.500, 0.368).

---

3.
This record from Alexandria via LeMat-Bulk describes a relaxed structure of Nb2V2W. The functional is PBE-GGA.

The formation energy comes out at 59 kJ per mole of atoms. The value obtained for the magnetic moment is 0.00 μB per formula unit. The offset from the most stable computed form is 617 meV per atom. As for the uncorrected energy: -9.651 eV per atom.

The space group is I4/mmm (No. 139) and the conventional cell measures 3.310, 3.310 and 15.576 Å, with angles of 90.00, 90.00 and 90.00 degrees. The distinct sites, in fractional coordinates, are Nb at (0.000, 0.000, 0.098), V at (0.000, 0.500, 0.250) and W at (0.000, 0.000, 0.500).